A geometry-optimized SmNbIr structure. Source: Alexandria, functional PBE.

Structure (CIF):
```
data_SmNbIr
_cell_length_a 4.581
_cell_length_b 4.581
_cell_length_c 6.606
_cell_angle_alpha 90.00
_cell_angle_beta 90.00
_cell_angle_gamma 90.00
_symmetry_space_group_name_H-M 'P 1'
_symmetry_Int_Tables_number 1
loop_
_symmetry_equiv_pos_as_xyz
'x,y,z'
loop_
_atom_site_label
_atom_site_type_symbol
_atom_site_fract_x
_atom_site_fract_y
_atom_site_fract_z
_atom_site_occupancy
Sm1 Sm 0.250 0.250 0.133 1
Sm2 Sm 0.750 0.750 0.867 1
Nb1 Nb 0.250 0.750 0.500 1
Nb2 Nb 0.750 0.250 0.500 1
Ir1 Ir 0.250 0.250 0.687 1
Ir2 Ir 0.750 0.750 0.313 1
```

As for the total energy: -8.3595 eV/atom. For the energy of formation, the calculation gives -0.476 eV per atom. The density of states at the Fermi level is 3.4 states/eV/f.u. The space group is No. 129.

A geometry-optimized SmNbIr2 structure. Source: Alexandria, functional PBE.

Structure (CIF):
```
data_SmNbIr2
_cell_length_a 3.159
_cell_length_b 3.159
_cell_length_c 7.569
_cell_angle_alpha 90.00
_cell_angle_beta 90.00
_cell_angle_gamma 90.00
_symmetry_space_group_name_H-M 'P 1'
_symmetry_Int_Tables_number 1
loop_
_symmetry_equiv_pos_as_xyz
'x,y,z'
loop_
_atom_site_label
_atom_site_type_symbol
_atom_site_fract_x
_atom_site_fract_y
_atom_site_fract_z
_atom_site_occupancy
Sm1 Sm 0.000 0.000 0.000 1
Nb1 Nb 0.000 0.000 0.500 1
Ir1 Ir 0.500 0.500 0.294 1
Ir2 Ir 0.500 0.500 0.706 1
```

As for the total energy: -8.6180 eV/atom. For the energy of formation, the calculation gives -0.490 eV per atom. The density of states at the Fermi level is 3.0 states/eV/f.u. The space group is No. 123.

A geometry-optimized SmNb2Ir2 structure. Source: Alexandria, functional PBE.

Structure (CIF):
```
data_SmNb2Ir2
_cell_length_a 4.470
_cell_length_b 4.470
_cell_length_c 10.511
_cell_angle_alpha 90.00
_cell_angle_beta 90.00
_cell_angle_gamma 90.00
_symmetry_space_group_name_H-M 'P 1'
_symmetry_Int_Tables_number 1
loop_
_symmetry_equiv_pos_as_xyz
'x,y,z'
loop_
_atom_site_label
_atom_site_type_symbol
_atom_site_fract_x
_atom_site_fract_y
_atom_site_fract_z
_atom_site_occupancy
Sm1 Sm 0.000 0.000 0.000 1
Sm2 Sm 0.500 0.500 0.500 1
Nb1 Nb 0.000 0.500 0.250 1
Nb2 Nb 0.000 0.500 0.750 1
Nb3 Nb 0.500 0.000 0.250 1
Nb4 Nb 0.500 0.000 0.750 1
Ir1 Ir 0.000 0.000 0.375 1
Ir2 Ir 0.000 0.000 0.625 1
Ir3 Ir 0.500 0.500 0.125 1
Ir4 Ir 0.500 0.500 0.875 1
```

As for the total energy: -9.0653 eV/atom. For the energy of formation, the calculation gives -0.549 eV per atom. The density of states at the Fermi level is 2.2 states/eV/f.u. The space group is No. 139.

A geometry-optimized SmTaNbIr2 structure. Source: Alexandria, functional PBE.

Structure (CIF):
```
data_SmTaNbIr2
_cell_length_a 4.459
_cell_length_b 4.459
_cell_length_c 10.548
_cell_angle_alpha 90.00
_cell_angle_beta 90.00
_cell_angle_gamma 90.00
_symmetry_space_group_name_H-M 'P 1'
_symmetry_Int_Tables_number 1
loop_
_symmetry_equiv_pos_as_xyz
'x,y,z'
loop_
_atom_site_label
_atom_site_type_symbol
_atom_site_fract_x
_atom_site_fract_y
_atom_site_fract_z
_atom_site_occupancy
Sm1 Sm 0.000 0.000 0.000 1
Sm2 Sm 0.500 0.500 0.500 1
Ta1 Ta 0.000 0.500 0.250 1
Ta2 Ta 0.500 0.000 0.750 1
Nb1 Nb 0.000 0.500 0.750 1
Nb2 Nb 0.500 0.000 0.250 1
Ir1 Ir 0.000 0.000 0.375 1
Ir2 Ir 0.000 0.000 0.625 1
Ir3 Ir 0.500 0.500 0.125 1
Ir4 Ir 0.500 0.500 0.875 1
```

As for the total energy: -9.4554 eV/atom. For the energy of formation, the calculation gives -0.583 eV per atom. The density of states at the Fermi level is 2.4 states/eV/f.u. The space group is No. 119.

A geometry-optimized Nb6SnIr structure. Source: Alexandria, functional PBE.

Structure (CIF):
```
data_Nb6SnIr
_cell_length_a 5.249
_cell_length_b 5.249
_cell_length_c 5.249
_cell_angle_alpha 90.07
_cell_angle_beta 90.07
_cell_angle_gamma 90.07
_symmetry_space_group_name_H-M 'P 1'
_symmetry_Int_Tables_number 1
loop_
_symmetry_equiv_pos_as_xyz
'x,y,z'
loop_
_atom_site_label
_atom_site_type_symbol
_atom_site_fract_x
_atom_site_fract_y
_atom_site_fract_z
_atom_site_occupancy
Nb1 Nb 0.000 0.256 0.501 1
Nb2 Nb 0.000 0.744 0.499 1
Nb3 Nb 0.256 0.501 0.000 1
Nb4 Nb 0.499 0.000 0.744 1
Nb5 Nb 0.501 0.000 0.256 1
Nb6 Nb 0.744 0.499 0.000 1
Sn1 Sn 0.000 0.000 0.000 1
Ir1 Ir 0.500 0.500 0.500 1
```

As for the total energy: -9.4295 eV/atom. For the energy of formation, the calculation gives -0.269 eV per atom. The density of states at the Fermi level is 9.4 states/eV/f.u. The space group is No. 148.

A geometry-optimized NbSn2Ir structure. Source: Alexandria, functional PBE.

Structure (CIF):
```
data_NbSn2Ir
_cell_length_a 3.120
_cell_length_b 3.120
_cell_length_c 29.682
_cell_angle_alpha 90.00
_cell_angle_beta 90.00
_cell_angle_gamma 120.00
_symmetry_space_group_name_H-M 'P 1'
_symmetry_Int_Tables_number 1
loop_
_symmetry_equiv_pos_as_xyz
'x,y,z'
loop_
_atom_site_label
_atom_site_type_symbol
_atom_site_fract_x
_atom_site_fract_y
_atom_site_fract_z
_atom_site_occupancy
Nb1 Nb 0.000 0.000 0.000 1
Nb2 Nb 0.333 0.667 0.667 1
Nb3 Nb 0.667 0.333 0.333 1
Sn1 Sn 0.000 0.000 0.096 1
Sn2 Sn 0.000 0.000 0.904 1
Sn3 Sn 0.333 0.667 0.571 1
Sn4 Sn 0.333 0.667 0.762 1
Sn5 Sn 0.667 0.333 0.238 1
Sn6 Sn 0.667 0.333 0.429 1
Ir1 Ir 0.000 0.000 0.500 1
Ir2 Ir 0.333 0.667 0.167 1
Ir3 Ir 0.667 0.333 0.833 1
```

As for the total energy: -6.4001 eV/atom. For the energy of formation, the calculation gives 0.334 eV per atom. The density of states at the Fermi level is 3.5 states/eV/f.u. The space group is No. 166.